# CrCoOs

A relaxed CrCoOs crystal (GGA-PBEsol, Alexandria).

## Properties
formation energy from the elements = 770 meV per atom
space group = F-43m, No. 216
total magnetic moment = 0.1 μB/f.u.
excess energy over the best structure of this formula in the dataset = 68.0 kJ per mole of atoms

Cell lengths 3.9219, 3.9219, 3.9219 Å; angles 60.00, 60.00, 60.00 degrees
Atoms (fractional coordinates):
Cr (0.0000, 0.0000, 0.0000)
Co (0.5000, 0.5000, 0.5000)
Os (0.7500, 0.7500, 0.7500)